This record from Alexandria via LeMat-Bulk describes crystalline PaFeI6 at its relaxed geometry. The functional is PBE.

```
data_PaFeI6
_cell_length_a 8.096
_cell_length_b 13.828
_cell_length_c 6.827
_cell_angle_alpha 90.00
_cell_angle_beta 90.64
_cell_angle_gamma 90.00
_space_group_name_H-M_alt 'C 1 2/m 1'
_space_group_IT_number 12
_space_group_name_Hall '-C 2y'
loop_
_atom_site_label
_atom_site_type_symbol
_atom_site_fract_x
_atom_site_fract_y
_atom_site_fract_z
Pa1 Pa 0.000 0.000 0.000
Fe1 Fe 0.000 0.000 0.500
I1 I 0.146 0.149 0.736
I2 I 0.207 0.500 0.731
```

## Properties
As for the total moment: 3.78 μB/f.u. The calculation puts the raw formation energy at -0.678 eV/atom. As for the density of states at the Fermi level: 12.60 states/eV per cell. The final energy is -4.086 eV per atom.